Entry 1:
A plane-wave DFT calculation with PBE was carried out for crystalline Nb4Mo2As3C3 at its relaxed geometry.

Output
**Symmetry**: C2/c

Cell: 5.6835 5.6835 12.5943 Å, 103.03 103.03 59.99°
Last column: nearest neighbours and their distance in Å.
Sites, in units of the cell vectors:
As1 0.7305 0.5835 0.2499  2 Mo 2.68, 4 Nb 2.69-2.70
As2 0.1027 0.8973 0.2500  2 Mo 2.68, 4 Nb 2.70
As3 0.4165 0.2695 0.2501  2 Mo 2.68, 4 Nb 2.69-2.70
As4 0.5835 0.7305 0.7499  2 Mo 2.68, 4 Nb 2.69-2.70
As5 0.8973 0.1027 0.7500  2 Mo 2.68, 4 Nb 2.70
As6 0.2695 0.4165 0.7501  2 Mo 2.68, 4 Nb 2.69-2.70
C1 0.0000 0.5000 0.0000  2 Mo 2.16, 4 Nb 2.23
C2 0.3321 0.8366 0.0001  2 Mo 2.17, 4 Nb 2.22-2.23
C3 0.1634 0.6679 0.4999  2 Mo 2.17, 4 Nb 2.22-2.23
C4 0.5000 0.0000 0.5000  2 Mo 2.16, 4 Nb 2.23
C5 0.8366 0.3321 0.5001  2 Mo 2.17, 4 Nb 2.22-2.23
C6 0.6679 0.1634 0.9999  2 Mo 2.17, 4 Nb 2.22-2.23
Mo1 0.3618 0.5285 0.0854  3 C 2.16-2.17
Mo2 0.4715 0.6382 0.4146  3 C 2.16-2.17
Mo3 0.5285 0.3618 0.5854  3 C 2.16-2.17
Mo4 0.6382 0.4715 0.9146  3 C 2.16-2.17
Nb1 0.0312 0.1999 0.0968  3 C 2.22-2.23
Nb2 0.6994 0.8648 0.0970  3 C 2.22-2.23
Nb3 0.1352 0.3006 0.4030  3 C 2.22-2.23
Nb4 0.8001 0.9688 0.4032  3 C 2.22-2.23
Nb5 0.1999 0.0312 0.5968  3 C 2.22-2.23
Nb6 0.8648 0.6994 0.5970  3 C 2.22-2.23
Nb7 0.3006 0.1352 0.9030  3 C 2.22-2.23
Nb8 0.9688 0.8001 0.9032  3 C 2.22-2.23

---

Entry 2:
A plane-wave DFT calculation with PBE was carried out for crystalline CuC8 at its relaxed geometry.

Output
**Symmetry**: Fddd
**Distance to the lowest polymorph of the same formula**: 0 meV per atom

Cell: 9.0353 8.3202 4.9755 Å, 81.42 65.58 32.99°
Last column: nearest neighbours and their distance in Å.
Sites, in units of the cell vectors:
C1 0.2921 0.9572 0.0414  3 C 1.43-1.44
C2 0.7891 0.4552 0.0444  3 C 1.43-1.44
C3 0.4609 0.7948 0.2056  3 C 1.43-1.44
C4 0.9579 0.2928 0.2086  3 C 1.43-1.44
C5 0.0414 0.7093 0.2921  3 C 1.43-1.44
C6 0.5407 0.2086 0.2928  3 C 1.43-1.44
C7 0.7113 0.0444 0.4552  3 C 1.43-1.44
C8 0.2056 0.5387 0.4609  3 C 1.43-1.44
C9 0.7948 0.4609 0.5387  3 C 1.43-1.44
C10 0.2928 0.9579 0.5407  3 C 1.43-1.44
C11 0.9572 0.2921 0.7093  3 C 1.43-1.44
C12 0.4552 0.7891 0.7113  3 C 1.43-1.44
C13 0.0444 0.7113 0.7891  3 C 1.43-1.44
C14 0.5387 0.2056 0.7948  3 C 1.43-1.44
C15 0.7093 0.0414 0.9572  3 C 1.43-1.44
C16 0.2086 0.5407 0.9579  3 C 1.43-1.44
Cu1 0.0000 0.0000 0.0000  12 C 2.41-2.46
Cu2 0.2500 0.2500 0.2500  12 C 2.41-2.46

---

Number 1: E -218.0 eV/cell, density 8048 kg/m3. Number 2: E -149.3 eV/cell, density 3117 kg/m3.